Density functional theory data (PBE with a Hubbard U) for a relaxed KCrS2O8 crystal.

The polymorph energy (0 for the lowest one) comes out at 0.02 eV/f.u. The volume is 14.1 Å³ per atom. For the total magnetization, the calculation gives 5.95 μB/cell.

It has space group P-3c1 (No. 165), with a = 4.8562 Å, b = 4.8562 Å, c = 16.5283 Å, α = 90.00°, β = 90.00° and γ = 120.00°. The inequivalent atoms are K at (0.0000, 0.0000, 0.2500), Cr at (0.0000, 0.0000, 0.0000), S at (0.3333, 0.6667, 0.3964), O at (0.0653, 0.3573, 0.4267) and O at (0.3333, 0.6667, 0.3081).